No. 1
Below is a relaxed structure of LiCo5P3, with properties calculated at the PBE level.

a = 3.5231 Å, b = 6.0650 Å, c = 11.1195 Å
α = 90.00°, β = 90.00°, γ = 106.88°
Last column: nearest neighbours and their distance in Å.
Sites, in units of the cell vectors:
Li 0.8738 0.7476 0.7500  5 P 2.77-2.88, 4 Co 2.98
Li 0.1262 0.2524 0.2500  5 P 2.77-2.88, 4 Co 2.98
Co 0.8027 0.6054 0.4333  4 P 2.14-2.34
Co 0.1973 0.3946 0.9333  4 P 2.14-2.34
Co 0.0000 0.0000 0.5000  4 P 2.30, 6 Co 2.41-2.45
Co 0.0000 0.0000 0.0000  4 P 2.30, 6 Co 2.41-2.45
Co 0.4470 0.8940 0.1427  4 P 2.23-2.28, 3 Co 2.39-2.45
Co 0.5530 0.1060 0.8573  4 P 2.23-2.28, 3 Co 2.39-2.45
Co 0.5530 0.1060 0.6427  4 P 2.23-2.28, 3 Co 2.39-2.45
Co 0.8027 0.6054 0.0667  4 P 2.14-2.34
Co 0.1973 0.3946 0.5667  4 P 2.14-2.34
Co 0.4470 0.8940 0.3573  4 P 2.23-2.28, 3 Co 2.39-2.45
P 0.3804 0.7607 0.9549  7 Co 2.14-2.34
P 0.8874 0.7749 0.2500  6 Co 2.24-2.26
P 0.3804 0.7607 0.5451  7 Co 2.14-2.34
P 0.6196 0.2393 0.4549  7 Co 2.14-2.34
P 0.1126 0.2251 0.7500  6 Co 2.24-2.26
P 0.6196 0.2393 0.0451  7 Co 2.14-2.34

E in Ha/atom: -0.23648
Calculated formation energy in eV per atom: -0.47
Crystal system: orthorhombic
N(E_F) in states/eV per atom: 0.873

---

No. 2
Below is a relaxed structure of As3Br, with properties calculated at the PBE level.

a = 4.9229 Å, b = 4.9229 Å, c = 4.9229 Å
α = 109.74°, β = 109.74°, γ = 109.74°
Last column: nearest neighbours and their distance in Å.
Sites, in units of the cell vectors:
As 0.0000 0.0000 0.0000  4 As 2.83, 2 Br 2.83
As 0.5000 0.0000 0.5000  2 Br 2.83, 4 As 2.83
As 0.5000 0.5000 0.0000  4 As 2.83, 2 Br 2.83
Br 0.0000 0.5000 0.5000  6 As 2.83

Energy above the most stable polymorph in this dataset in kJ per mole of atoms: 26.34
E in Ha/atom: -0.13020
Energy relative to the elements, uncorrected in kJ per mole of atoms: 35.0
Crystal system: trigonal
N(E_F) in states/eV per atom: 1.231

---

No. 3
Below is a relaxed structure of NaSrGa2Rh, with properties calculated at the PBE level.

a = 4.8309 Å, b = 4.8309 Å, c = 5.2787 Å
α = 90.00°, β = 90.00°, γ = 90.00°
Last column: nearest neighbours and their distance in Å.
Sites, in units of the cell vectors:
Sr 0.5000 0.5000 0.5000  4 Na 3.42, 8 Ga 3.58
Rh 0.0000 0.0000 0.0000  4 Ga 2.42, 2 Na 2.64
Ga 0.0000 0.5000 0.0000  2 Rh 2.42
Ga 0.5000 0.0000 0.0000  2 Rh 2.42
Na 0.0000 0.0000 0.5000  2 Rh 2.64

Energy above the most stable polymorph in this dataset in kJ per mole of atoms: 0.00
E in Ha/atom: -0.13130
Calculated formation energy in eV per atom: -0.29
Crystal system: tetragonal
N(E_F) in states/eV per atom: 0.589